DFT (PBE-GGA) results for crystalline AcTm4 at its relaxed geometry.

The space group is Pm-3m (No. 221) and the conventional cell measures 5.820, 5.820 and 5.820 Å, with angles of 90.00, 90.00 and 90.00 degrees. The asymmetric unit holds Ac at (0.000, 0.000, 0.000), Tm at (0.000, 0.000, 0.500) and Tm at (0.500, 0.500, 0.500).

Its volume is 39.4 A^3/atom. The calculation puts the distance to the lowest polymorph of the same formula at 999 meV per atom. The value obtained for the total magnetization is 0.00 μB per formula unit. The calculation puts the formation enthalpy at 0 K at 1103 meV/atom.

DFT (PBE-GGA) results for crystalline AcTm5 at its relaxed geometry.

The space group is Cmmm (No. 65) and the conventional cell measures 5.777, 17.631 and 3.833 Å, with angles of 90.00, 90.00 and 90.00 degrees. The asymmetric unit holds Ac at (0.000, 0.000, 0.000), Tm at (0.000, 0.184, 0.500), Tm at (0.000, 0.344, 0.000) and Tm at (0.000, 0.500, 0.500).

Its volume is 32.5 A^3/atom. The calculation puts the distance to the lowest polymorph of the same formula at 62 meV per atom. The value obtained for the total magnetization is 0.00 μB per formula unit. The calculation puts the formation enthalpy at 0 K at 117 meV/atom.

DFT (PBE-GGA) results for crystalline AcTm at its relaxed geometry.

The space group is Pm-3m (No. 221) and the conventional cell measures 4.200, 4.200 and 4.200 Å, with angles of 90.00, 90.00 and 90.00 degrees. The asymmetric unit holds Ac at (0.000, 0.000, 0.000) and Tm at (0.500, 0.500, 0.500).

Its volume is 37.0 A^3/atom. The calculation puts the distance to the lowest polymorph of the same formula at 0 meV per atom. The value obtained for the total magnetization is 0.00 μB per formula unit. The calculation puts the formation enthalpy at 0 K at 79 meV/atom.

DFT (PBE-GGA) results for crystalline AcTm2 at its relaxed geometry.

The space group is Fd-3m (No. 227, origin choice 2) and the conventional cell measures 9.646, 9.646 and 9.646 Å, with angles of 90.00, 90.00 and 90.00 degrees. The asymmetric unit holds Ac at (0.125, 0.125, 0.125) and Tm at (0.000, 0.000, 0.500).

Its volume is 37.4 A^3/atom. The calculation puts the distance to the lowest polymorph of the same formula at 143 meV per atom. The value obtained for the total magnetization is 2.97 μB per formula unit. The calculation puts the formation enthalpy at 0 K at 246 meV/atom.

DFT (PBE-GGA) results for crystalline Ac5Tm at its relaxed geometry.

The space group is Cm (No. 8) and the conventional cell measures 14.359, 3.968 and 9.287 Å, with angles of 90.00, 104.51 and 90.00 degrees. The asymmetric unit holds Ac at (0.000, 0.000, 0.000), Ac at (0.051, 0.000, 0.619), Ac at (0.162, 0.500, 0.334), Ac at (0.323, 0.000, 0.678), Ac at (0.380, 0.000, 0.268) and Tm at (0.216, 0.500, 0.947).

Its volume is 42.7 A^3/atom. The calculation puts the distance to the lowest polymorph of the same formula at 18 meV per atom. The value obtained for the total magnetization is 0.00 μB per formula unit. The calculation puts the formation enthalpy at 0 K at 61 meV/atom.

DFT (PBE-GGA) results for crystalline AcTm2 at its relaxed geometry.

The space group is I4/mmm (No. 139) and the conventional cell measures 4.122, 4.122 and 12.356 Å, with angles of 90.00, 90.00 and 90.00 degrees. The asymmetric unit holds Ac at (0.000, 0.000, 0.000) and Tm at (0.000, 0.000, 0.320).

Its volume is 35.0 A^3/atom. The calculation puts the distance to the lowest polymorph of the same formula at 0 meV per atom. The value obtained for the total magnetization is 0.00 μB per formula unit. The calculation puts the formation enthalpy at 0 K at 103 meV/atom.

DFT (PBE-GGA) results for crystalline Ac5Tm at its relaxed geometry.

The space group is Cmmm (No. 65) and the conventional cell measures 5.522, 16.640 and 5.532 Å, with angles of 90.00, 90.00 and 90.00 degrees. The asymmetric unit holds Ac at (0.000, 0.000, 0.000), Ac at (0.000, 0.163, 0.500), Ac at (0.000, 0.336, 0.000) and Tm at (0.000, 0.500, 0.500).

Its volume is 42.4 A^3/atom. The calculation puts the distance to the lowest polymorph of the same formula at 0 meV per atom. The value obtained for the total magnetization is 0.00 μB per formula unit. The calculation puts the formation enthalpy at 0 K at 43 meV/atom.

DFT (PBE-GGA) results for crystalline Ac3Tm at its relaxed geometry.

The space group is Cmcm (No. 63) and the conventional cell measures 5.388, 24.076 and 5.330 Å, with angles of 90.00, 90.00 and 90.00 degrees. The asymmetric unit holds Ac at (0.000, 0.061, 0.250), Ac at (0.000, 0.313, 0.750), Ac at (0.000, 0.437, 0.250) and Tm at (0.000, 0.163, 0.750).

Its volume is 43.2 A^3/atom. The value obtained for the total magnetization is 0.00 μB per formula unit. The calculation puts the formation enthalpy at 0 K at 222 meV/atom.

DFT (PBE-GGA) results for crystalline Ac3Tm at its relaxed geometry.

The space group is Fm-3m (No. 225) and the conventional cell measures 8.731, 8.731 and 8.731 Å, with angles of 90.00, 90.00 and 90.00 degrees. The asymmetric unit holds Ac at (0.000, 0.000, 0.000), Ac at (0.250, 0.250, 0.250) and Tm at (0.000, 0.000, 0.500).

Its volume is 41.6 A^3/atom. The value obtained for the total magnetization is 0.00 μB per formula unit. The calculation puts the formation enthalpy at 0 K at 163 meV/atom.

DFT (PBE-GGA) results for crystalline Ac3Tm at its relaxed geometry.

The space group is Pm-3m (No. 221) and the conventional cell measures 5.464, 5.464 and 5.464 Å, with angles of 90.00, 90.00 and 90.00 degrees. The asymmetric unit holds Ac at (0.000, 0.000, 0.500) and Tm at (0.500, 0.500, 0.500).

Its volume is 40.8 A^3/atom. The value obtained for the total magnetization is 0.00 μB per formula unit. The calculation puts the formation enthalpy at 0 K at 43 meV/atom.

DFT (PBE-GGA) results for crystalline AcTm4 at its relaxed geometry.

The space group is I4/mmm (No. 139) and the conventional cell measures 3.976, 3.976 and 21.014 Å, with angles of 90.00, 90.00 and 90.00 degrees. The asymmetric unit holds Ac at (0.000, 0.000, 0.000), Tm at (0.000, 0.000, 0.207) and Tm at (0.000, 0.000, 0.385).

Its volume is 33.2 A^3/atom. The calculation puts the distance to the lowest polymorph of the same formula at 0 meV per atom. The value obtained for the total magnetization is 0.00 μB per formula unit. The calculation puts the formation enthalpy at 0 K at 104 meV/atom.

DFT (PBE-GGA) results for crystalline Ac3Tm at its relaxed geometry.

The space group is I4/mmm (No. 139) and the conventional cell measures 5.482, 5.482 and 10.898 Å, with angles of 90.00, 90.00 and 90.00 degrees. The asymmetric unit holds Ac at (0.000, 0.000, 0.000), Ac at (0.000, 0.500, 0.250) and Tm at (0.000, 0.000, 0.500).

Its volume is 40.9 A^3/atom. The value obtained for the total magnetization is 0.00 μB per formula unit. The calculation puts the formation enthalpy at 0 K at 57 meV/atom.

DFT (PBE-GGA) results for crystalline Ac3Tm at its relaxed geometry.

The space group is P6_3/mmc (No. 194) and the conventional cell measures 7.8259, 7.8259 and 6.2326 Å, with angles of 90.00, 90.00 and 120.00 degrees. The asymmetric unit holds Ac at (0.1702, 0.3404, 0.2500) and Tm at (0.3333, 0.6667, 0.7500).

Its volume is 41.3 A^3/atom. The value obtained for the total magnetization is 0.00 μB per formula unit. The calculation puts the formation enthalpy at 0 K at 56 meV/atom.

DFT (PBE-GGA) results for crystalline AcTm at its relaxed geometry.

The space group is Pmmn (No. 59, origin choice 2) and the conventional cell measures 3.798, 6.086 and 6.385 Å, with angles of 90.00, 90.00 and 90.00 degrees. The asymmetric unit holds Ac at (0.250, 0.250, 0.089) and Tm at (0.250, 0.750, 0.418).

Its volume is 36.9 A^3/atom. The calculation puts the distance to the lowest polymorph of the same formula at 6 meV per atom. The value obtained for the total magnetization is 0.00 μB per formula unit. The calculation puts the formation enthalpy at 0 K at 85 meV/atom.

DFT (PBE-GGA) results for crystalline Ac3Tm at its relaxed geometry.

The space group is Pmm2 (No. 25) and the conventional cell measures 3.768, 3.785 and 11.996 Å, with angles of 90.00, 90.00 and 90.00 degrees. The asymmetric unit holds Ac at (0.000, 0.000, 0.000), Ac at (0.000, 0.500, 0.286), Ac at (0.500, 0.500, 0.757) and Tm at (0.500, 0.000, 0.499).

Its volume is 42.8 A^3/atom. The value obtained for the total magnetization is 0.00 μB per formula unit. The calculation puts the formation enthalpy at 0 K at 246 meV/atom.

DFT (PBE-GGA) results for crystalline Ac3Tm at its relaxed geometry.

The space group is Imm2 (No. 44) and the conventional cell measures 3.942, 12.511 and 6.691 Å, with angles of 90.00, 90.00 and 90.00 degrees. The asymmetric unit holds Ac at (0.000, 0.000, 0.000), Ac at (0.000, 0.242, 0.346) and Tm at (0.000, 0.500, 0.004).

Its volume is 41.2 A^3/atom. The value obtained for the total magnetization is 0.00 μB per formula unit. The calculation puts the formation enthalpy at 0 K at 72 meV/atom.

DFT (PBE-GGA) results for crystalline AcTm5 at its relaxed geometry.

The space group is C2/m (No. 12) and the conventional cell measures 15.382, 3.598 and 7.146 Å, with angles of 90.00, 103.36 and 90.00 degrees. The asymmetric unit holds Ac at (0.000, 0.000, 0.000), Tm at (0.000, 0.000, 0.500), Tm at (0.170, 0.500, 0.341) and Tm at (0.170, 0.500, 0.829).

Its volume is 32.1 A^3/atom. The calculation puts the distance to the lowest polymorph of the same formula at 0 meV per atom. The value obtained for the total magnetization is 0.00 μB per formula unit. The calculation puts the formation enthalpy at 0 K at 55 meV/atom.

DFT (PBE-GGA) results for crystalline AcTm2V at its relaxed geometry.

The space group is R-3m (No. 166, hexagonal axes) and the conventional cell measures 3.4870, 3.4870 and 34.8972 Å, with angles of 90.00, 90.00 and 120.00 degrees. The asymmetric unit holds Ac at (0.0000, 0.0000, 0.0000), Tm at (0.0000, 0.0000, 0.4204) and V at (0.0000, 0.0000, 0.5000).

Its volume is 30.6 A^3/atom. The value obtained for the total magnetization is 3.22 μB per formula unit. The calculation puts the formation enthalpy at 0 K at 726 meV/atom.

DFT (PBE-GGA) results for crystalline AcY2Tm3 at its relaxed geometry.

The space group is C2/c (No. 15) and the conventional cell measures 9.126, 9.889 and 9.038 Å, with angles of 90.00, 102.47 and 90.00 degrees. The asymmetric unit holds Ac at (0.000, 0.076, 0.250), Y at (0.125, 0.256, 0.626), Tm at (0.000, 0.418, 0.250) and Tm at (0.234, 0.411, 0.994).

Its volume is 33.2 A^3/atom. The value obtained for the total magnetization is 0.00 μB per formula unit. The calculation puts the formation enthalpy at 0 K at 105 meV/atom.

DFT (PBE-GGA) results for crystalline AcY4Tm8 at its relaxed geometry.

The space group is C2/m (No. 12) and the conventional cell measures 10.098, 6.996 and 12.318 Å, with angles of 90.00, 104.65 and 90.00 degrees. The asymmetric unit holds Ac at (0.000, 0.000, 0.000), Y at (0.000, 0.257, 0.500), Y at (0.213, 0.500, 0.352), Tm at (0.090, 0.263, 0.789), Tm at (0.153, 0.500, 0.060) and Tm at (0.194, 0.000, 0.345).

Its volume is 32.4 A^3/atom. The value obtained for the total magnetization is 0.00 μB per formula unit. The calculation puts the formation enthalpy at 0 K at 115 meV/atom.

DFT (PBE-GGA) results for crystalline AcY7Tm12 at its relaxed geometry.

The space group is Im-3m (No. 229) and the conventional cell measures 11.229, 11.229 and 11.229 Å, with angles of 90.00, 90.00 and 90.00 degrees. The asymmetric unit holds Ac at (0.000, 0.000, 0.000), Y at (0.000, 0.000, 0.500), Y at (0.250, 0.250, 0.250) and Tm at (0.000, 0.265, 0.265).

Its volume is 35.4 A^3/atom. The value obtained for the total magnetization is 0.00 μB per formula unit. The calculation puts the formation enthalpy at 0 K at 717 meV/atom.

DFT (PBE-GGA) results for crystalline Ac2YTm at its relaxed geometry.

The space group is P4/mmm (No. 123) and the conventional cell measures 5.495, 5.495 and 4.956 Å, with angles of 90.00, 90.00 and 90.00 degrees. The asymmetric unit holds Ac at (0.000, 0.500, 0.000), Y at (0.000, 0.000, 0.500) and Tm at (0.500, 0.500, 0.500).

Its volume is 37.4 A^3/atom. The calculation puts the distance to the lowest polymorph of the same formula at 1 meV per atom. The value obtained for the total magnetization is 0.00 μB per formula unit. The calculation puts the formation enthalpy at 0 K at 51 meV/atom.

DFT (PBE-GGA) results for crystalline AcY2Tm6 at its relaxed geometry.

The space group is P-6m2 (No. 187) and the conventional cell measures 3.6105, 3.6105 and 26.0887 Å, with angles of 90.00, 90.00 and 120.00 degrees. The asymmetric unit holds Ac at (0.0000, 0.0000, 0.0000), Y at (0.3333, 0.6667, 0.3304), Tm at (0.0000, 0.0000, 0.2224), Tm at (0.0000, 0.0000, 0.4364) and Tm at (0.3333, 0.6667, 0.1179).

Its volume is 32.7 A^3/atom. The value obtained for the total magnetization is 1.49 μB per formula unit. The calculation puts the formation enthalpy at 0 K at 84 meV/atom.

DFT (PBE-GGA) results for crystalline AcY6Tm3 at its relaxed geometry.

The space group is P2_1/c (No. 14) and the conventional cell measures 7.509, 9.422 and 12.049 Å, with angles of 90.00, 128.55 and 90.00 degrees. The asymmetric unit holds Ac at (0.000, 0.000, 0.000), Y at (0.130, 0.119, 0.632), Y at (0.380, 0.632, 0.882), Y at (0.423, 0.672, 0.173), Tm at (0.079, 0.172, 0.329) and Tm at (0.500, 0.000, 0.000).

Its volume is 33.3 A^3/atom. The value obtained for the total magnetization is 0.00 μB per formula unit. The calculation puts the formation enthalpy at 0 K at 93 meV/atom.

DFT (PBE-GGA) results for crystalline Ac2YTm at its relaxed geometry.

The space group is P4/mmm (No. 123) and the conventional cell measures 3.906, 3.906 and 9.824 Å, with angles of 90.00, 90.00 and 90.00 degrees. The asymmetric unit holds Ac at (0.000, 0.000, 0.247), Y at (0.500, 0.500, 0.500) and Tm at (0.500, 0.500, 0.000).

Its volume is 37.5 A^3/atom. The calculation puts the distance to the lowest polymorph of the same formula at 0 meV per atom. The value obtained for the total magnetization is 0.00 μB per formula unit. The calculation puts the formation enthalpy at 0 K at 50 meV/atom.

DFT (PBE-GGA) results for crystalline Ac2YTm at its relaxed geometry.

The space group is R3m (No. 160, hexagonal axes) and the conventional cell measures 3.7944, 3.7944 and 36.1246 Å, with angles of 90.00, 90.00 and 120.00 degrees. The asymmetric unit holds Ac at (0.0000, 0.0000, 0.0000), Ac at (0.0000, 0.0000, 0.1682), Y at (0.0000, 0.0000, 0.7517) and Tm at (0.0000, 0.0000, 0.5831).

Its volume is 37.5 A^3/atom. The calculation puts the distance to the lowest polymorph of the same formula at 30 meV per atom. The value obtained for the total magnetization is 0.00 μB per formula unit. The calculation puts the formation enthalpy at 0 K at 80 meV/atom.